Record 1
Here is an optimized crystal structure of CaSm2Zn from the Alexandria database. Energies are from PBE.

Calculated values
For the calculated total energy, the calculation gives -3.291 eV per atom. The distance to the lowest polymorph of the same formula comes out at 0.000 eV/atom. For the energy relative to the elements, the calculation gives -0.113 eV per atom. The density of states at the Fermi level is 4.77 states/eV/f.u.

```
CaSm2Zn
1.0
3.707 0.000 0.000
0.000 3.707 0.000
0.000 0.000 9.023
Ca Zn Sm
1 1 2
Cartesian
1.854 1.854 4.511
1.854 1.854 0.000
0.000 0.000 7.322
0.000 0.000 1.701
```

Record 2
Here is an optimized crystal structure of Li2CdIr from the Alexandria database. Energies are from PBE.

Calculated values
For the calculated total energy, the calculation gives -3.485 eV per atom. For the energy relative to the elements, the calculation gives -0.084 eV per atom. The density of states at the Fermi level is 1.65 states/eV/f.u.

```
Li2CdIr
1.0
4.375 0.000 0.000
0.000 2.659 0.011
0.000 1.289 5.299
Li Ir Cd
2 1 1
Cartesian
2.188 0.527 1.283
0.000 1.741 5.234
2.188 3.119 4.127
0.000 1.823 2.619
```

Record 3
Here is an optimized crystal structure of Pm2Sm7Tm4 from the Alexandria database. Energies are from PBE.

Calculated values
For the calculated total energy, the calculation gives -4.629 eV per atom. For the energy relative to the elements, the calculation gives 0.018 eV per atom. The density of states at the Fermi level is 17.91 states/eV/f.u.

```
Pm2Sm7Tm4
1.0
8.614 4.008 -0.037
-0.009 8.019 -0.170
-0.405 -0.664 6.148
Sm Tm Pm
7 4 2
Cartesian
0.349 4.112 4.628
3.729 3.291 3.716
0.000 0.000 0.000
7.852 7.251 1.313
4.472 8.072 2.225
5.597 8.943 5.517
2.603 2.420 0.423
7.111 10.504 2.655
1.089 0.859 3.285
1.834 5.667 1.773
6.367 5.696 4.168
2.960 6.528 5.059
5.240 4.835 0.881
```

Question: Which value of calculated total energy does entry 3 give?
Answer: -4.629 eV per atom